A plane-wave DFT calculation with PBE was carried out for an optimized crystal structure of Sm3MgCl.

Unit cell a=5.3209 b=5.3209 c=5.3209 alpha=90.00 beta=90.00 gamma=90.00
With the nearest neighbours (Å) after each atom.
Fractional coordinates of all 5 atoms:
Sm: 0.0000 0.0000 0.5000  2 Cl 2.66
Sm: 0.0000 0.5000 0.0000  2 Cl 2.66
Sm: 0.5000 0.0000 0.0000  2 Cl 2.66
Mg: 0.5000 0.5000 0.5000  12 Sm 3.76
Cl: 0.0000 0.0000 0.0000  6 Sm 2.66

Properties
spin magnetization = 0.0 μB/f.u.
calculated total energy = -19.87 eV per cell